No. 1
# Dy2Cu3Ge2 (PBE, relaxed)
data_Dy2Cu3Ge2
_cell_length_a 10.210
_cell_length_b 4.155
_cell_length_c 6.349
_cell_angle_alpha 90.00
_cell_angle_beta 111.59
_cell_angle_gamma 90.00
_symmetry_space_group_name_H-M 'C 1 2/m 1'
_symmetry_Int_Tables_number 12
loop_
_symmetry_equiv_pos_as_xyz
'x,y,z'
'-x,-y,-z'
'-x,y,-z'
'x,-y,z'
'x+1/2,y+1/2,z'
'-x+1/2,-y+1/2,-z'
'-x+1/2,y+1/2,-z'
'x+1/2,-y+1/2,z'
loop_
_atom_site_label
_atom_site_type_symbol
_atom_site_fract_x
_atom_site_fract_y
_atom_site_fract_z
_atom_site_occupancy
Dy1 Dy 0.148 0.000 0.256 1
Cu1 Cu 0.000 0.500 0.500 1
Cu2 Cu 0.097 0.500 0.921 1
Ge1 Ge 0.145 0.000 0.739 1
# - electronic total energy (eV per atom) = -4.88

No. 2
# La8Cd3Ru2 (PBE, relaxed)
data_La8Cd3Ru2
_cell_length_a 17.707
_cell_length_b 7.728
_cell_length_c 5.651
_cell_angle_alpha 90.00
_cell_angle_beta 90.44
_cell_angle_gamma 90.00
_symmetry_space_group_name_H-M 'C 1 2/m 1'
_symmetry_Int_Tables_number 12
loop_
_symmetry_equiv_pos_as_xyz
'x,y,z'
'-x,-y,-z'
'-x,y,-z'
'x,-y,z'
'x+1/2,y+1/2,z'
'-x+1/2,-y+1/2,-z'
'-x+1/2,y+1/2,-z'
'x+1/2,-y+1/2,z'
loop_
_atom_site_label
_atom_site_type_symbol
_atom_site_fract_x
_atom_site_fract_y
_atom_site_fract_z
_atom_site_occupancy
La1 La 0.074 0.000 0.271 1
La2 La 0.169 0.500 0.229 1
La3 La 0.170 0.239 0.741 1
Cd1 Cd 0.000 0.322 0.000 1
Cd2 Cd 0.000 0.500 0.500 1
Ru1 Ru 0.217 0.000 0.258 1
# - electronic total energy (eV per atom) = -4.83

No. 3
# SiHg2BiW (PBE, relaxed)
data_SiHg2BiW
_cell_length_a 4.898
_cell_length_b 4.898
_cell_length_c 5.802
_cell_angle_alpha 90.00
_cell_angle_beta 90.00
_cell_angle_gamma 90.00
_symmetry_space_group_name_H-M 'P 4/m m m'
_symmetry_Int_Tables_number 123
_symmetry_space_group_name_Hall '-P 4 2'
loop_
_atom_site_label
_atom_site_type_symbol
_atom_site_fract_x
_atom_site_fract_y
_atom_site_fract_z
_atom_site_occupancy
Si1 Si 0.000 0.000 0.000 1
Hg1 Hg 0.000 0.500 0.000 1
Bi1 Bi 0.000 0.000 0.500 1
W1 W 0.500 0.500 0.500 1
# - raw formation energy (eV/f.u.) = 6.976
# - electronic total energy (eV per atom) = -3.18